(1)
DFT (PBE) results for a geometry-optimized NaDySb2 structure.

Cell and atoms, written as CIF:
```
data_NaDySb2
_chemical_formula_sum 'Na1 Dy1 Sb2'
_space_group_name_H-M_alt 'P 4/m m m'
_space_group_IT_number 123
_space_group_name_Hall '-P 4 2'
_cell_length_a 4.988
_cell_length_b 4.988
_cell_length_c 4.247
_cell_angle_alpha 90.00
_cell_angle_beta 90.00
_cell_angle_gamma 90.00
loop_
_atom_site_label
_atom_site_type_symbol
_atom_site_fract_x
_atom_site_fract_y
_atom_site_fract_z
Na1 Na 0.000 0.000 0.000
Dy1 Dy 0.500 0.500 0.000
Sb1 Sb 0.000 0.500 0.500
```

Summary:
Total energy, eV for the cell shown: -16.430
Uncorrected formation energy, meV/atom: -566
Energy relative to the lowest polymorph listed for this composition, meV per atom: 27
Total moment, μB per cell: 0.000

=====

(2)
DFT (PBE) results for a geometry-optimized Ac6Hg2Pt3 structure.

Cell and atoms, written as CIF:
```
data_Ac6Hg2Pt3
_chemical_formula_sum 'Ac12 Hg4 Pt6'
_space_group_name_H-M_alt 'C 1 2/m 1'
_space_group_IT_number 12
_space_group_name_Hall '-C 2y'
_cell_length_a 7.656
_cell_length_b 13.247
_cell_length_c 8.392
_cell_angle_alpha 90.00
_cell_angle_beta 107.77
_cell_angle_gamma 90.00
loop_
_atom_site_label
_atom_site_type_symbol
_atom_site_fract_x
_atom_site_fract_y
_atom_site_fract_z
Ac1 Ac 0.236 0.168 0.211
Ac2 Ac 0.238 0.500 0.209
Hg1 Hg 0.000 0.166 0.500
Pt1 Pt 0.000 0.000 0.000
Pt2 Pt 0.000 0.333 0.000
```

Summary:
Total energy, eV for the cell shown: -104.281
Formation energy from the elements, eV/atom: -0.7967
Total moment, μB per cell: 0.000

=====

(3)
DFT (PBE) results for a geometry-optimized La2BeCr structure.

Cell and atoms, written as CIF:
```
data_La2BeCr
_chemical_formula_sum 'La4 Be2 Cr2'
_space_group_name_H-M_alt 'A m m 2'
_space_group_IT_number 38
_space_group_name_Hall 'A 2 -2'
_cell_length_a 4.311
_cell_length_b 4.174
_cell_length_c 11.182
_cell_angle_alpha 90.00
_cell_angle_beta 90.00
_cell_angle_gamma 90.00
loop_
_atom_site_label
_atom_site_type_symbol
_atom_site_fract_x
_atom_site_fract_y
_atom_site_fract_z
La1 La 0.000 0.000 0.000
La2 La 0.500 0.000 0.286
Be1 Be 0.500 0.000 0.591
Cr1 Cr 0.000 0.000 0.689
```

Summary:
Total energy, eV for the cell shown: -43.893
Formation energy from the elements, eV/atom: 0.3145
Total moment, μB per cell: 5.171

=====

(4)
DFT (PBE) results for a geometry-optimized PH3Br structure.

Cell and atoms, written as CIF:
```
data_PH3Br
_chemical_formula_sum 'P3 H9 Br3'
_space_group_name_H-M_alt 'R 3 m'
_space_group_IT_number 160
_space_group_name_Hall 'R 3 -2"'
_cell_length_a 6.8652
_cell_length_b 6.8652
_cell_length_c 5.8451
_cell_angle_alpha 90.00
_cell_angle_beta 90.00
_cell_angle_gamma 120.00
loop_
_atom_site_label
_atom_site_type_symbol
_atom_site_fract_x
_atom_site_fract_y
_atom_site_fract_z
P1 P 0.0000 0.0000 0.0000
H1 H 0.2165 0.1083 0.8969
Br1 Br 0.0000 0.0000 0.4642
```

Summary:
Total energy, eV for the cell shown: -51.910
Energy relative to the lowest polymorph listed for this composition, meV per atom: 0
Total moment, μB per cell: 0.000

=====

(5)
DFT (PBE) results for a geometry-optimized Sm2TmMg structure.

Cell and atoms, written as CIF:
```
data_Sm2TmMg
_chemical_formula_sum 'Sm8 Tm4 Mg4'
_space_group_name_H-M_alt 'F m -3 m'
_space_group_IT_number 225
_space_group_name_Hall '-F 4 2 3'
_cell_length_a 7.836
_cell_length_b 7.836
_cell_length_c 7.836
_cell_angle_alpha 90.00
_cell_angle_beta 90.00
_cell_angle_gamma 90.00
loop_
_atom_site_label
_atom_site_type_symbol
_atom_site_fract_x
_atom_site_fract_y
_atom_site_fract_z
Sm1 Sm 0.250 0.250 0.250
Tm1 Tm 0.000 0.000 0.000
Mg1 Mg 0.000 0.000 0.500
```

Summary:
Total energy, eV for the cell shown: -61.729
Formation energy from the elements, eV/atom: 0.0180
Energy relative to the lowest polymorph listed for this composition, meV per atom: 42
Total moment, μB per cell: 0.000

=====

(6)
DFT (PBE) results for a geometry-optimized CeMgGa2Pd5 structure.

Cell and atoms, written as CIF:
```
data_CeMgGa2Pd5
_chemical_formula_sum 'Ce1 Mg1 Ga2 Pd5'
_space_group_name_H-M_alt 'P 4/m m m'
_space_group_IT_number 123
_space_group_name_Hall '-P 4 2'
_cell_length_a 4.153
_cell_length_b 4.153
_cell_length_c 9.409
_cell_angle_alpha 90.00
_cell_angle_beta 90.00
_cell_angle_gamma 90.00
loop_
_atom_site_label
_atom_site_type_symbol
_atom_site_fract_x
_atom_site_fract_y
_atom_site_fract_z
Ce1 Ce 0.000 0.000 0.000
Mg1 Mg 0.000 0.000 0.500
Ga1 Ga 0.500 0.500 0.371
Pd1 Pd 0.000 0.500 0.224
Pd2 Pd 0.500 0.500 0.000
```

Summary:
Total energy, eV for the cell shown: -45.197
Formation energy from the elements, eV/atom: -0.6279
Total moment, μB per cell: 0.537

=====

Question: total energy of number 1 (NaDySb2)?
Answer: -16.430 eV for the cell shown